1.
# GaCuC

A geometry-optimized GaCuC structure (PBE, the Alexandria database).

The structure in extended XYZ format:
```
6
Lattice="4.483 0.001 0.013 -0.179 6.783 -0.012 0.747 0.019 2.468" Properties=species:S:1:pos:R:3 pbc="T T T"
Cu 3.600 1.780 1.136
Cu 4.241 6.374 2.249
Ga 1.431 0.463 0.446
Ga 3.584 4.272 1.120
C 0.843 3.082 0.600
C 1.856 3.138 1.642
```

Computed properties:
Formation energy, meV/atom: 345
DOS at the Fermi energy, states/eV/atom: 0.132
Crystal system: triclinic
Raw total energy, eV per atom: -5.104
Symmetry: P1
M_tot, μB/f.u.: 0.000

2.
# GaCuC

A geometry-optimized GaCuC structure (PBE, the Alexandria database).

The structure in extended XYZ format:
```
6
Lattice="3.318 -0.002 0.008 1.685 5.358 -0.015 1.620 -1.202 4.619" Properties=species:S:1:pos:R:3 pbc="T T T"
Ga 3.599 4.204 1.449
Ga 1.909 0.832 3.043
Cu 1.928 1.210 0.578
Cu 3.578 3.827 3.915
C 1.942 3.412 0.567
C 3.567 1.624 3.925
```

Computed properties:
Formation energy, meV/atom: 510
DOS at the Fermi energy, states/eV/atom: 0.295
Crystal system: triclinic
Raw total energy, eV per atom: -4.939
Symmetry: P-1
M_tot, μB/f.u.: 0.000

3.
# GaCuC

A geometry-optimized GaCuC structure (PBE, the Alexandria database).

The structure in extended XYZ format:
```
6
Lattice="-1.175 2.355 -1.820 -3.465 -4.784 -1.109 -2.041 0.068 4.205" Properties=species:S:1:pos:R:3 pbc="T T T"
Ga -2.915 -1.521 0.844
Ga -4.724 -4.403 1.125
Cu -1.678 1.386 -1.820
Cu -3.654 -3.293 -0.942
C -1.974 -2.256 -0.704
C -4.217 -0.029 0.802
```

Computed properties:
Formation energy, meV/atom: 551
DOS at the Fermi energy, states/eV/atom: 0.326
Crystal system: triclinic
Raw total energy, eV per atom: -4.898
Symmetry: P1
M_tot, μB/f.u.: 0.000

4.
# GaCuC

A geometry-optimized GaCuC structure (PBE, the Alexandria database).

The structure in extended XYZ format:
```
6
Lattice="4.455 0.033 0.020 -0.783 5.892 -0.009 -1.335 -1.183 2.927" Properties=species:S:1:pos:R:3 pbc="T T T"
C 2.622 2.259 1.781
C -0.539 1.709 2.143
Ga 0.921 1.407 0.678
Ga 2.496 3.745 0.320
Cu 3.105 0.095 1.108
Cu -1.023 3.875 2.814
```

Computed properties:
Formation energy, meV/atom: 528
DOS at the Fermi energy, states/eV/atom: 0.281
Crystal system: triclinic
Raw total energy, eV per atom: -4.921
Symmetry: P-1
M_tot, μB/f.u.: 0.000

5.
# GaCuC

A geometry-optimized GaCuC structure (PBE, the Alexandria database).

The structure in extended XYZ format:
```
6
Lattice="3.361 0.017 0.048 1.626 8.502 0.027 1.626 0.339 2.922" Properties=species:S:1:pos:R:3 pbc="T T T"
C 3.306 2.746 1.733
C 3.292 4.087 1.574
Cu 3.318 0.688 1.971
Cu 4.977 2.302 2.791
Ga 1.630 4.888 0.481
Ga 1.626 7.385 0.199
```

Computed properties:
Formation energy, meV/atom: 498
DOS at the Fermi energy, states/eV/atom: 0.344
Crystal system: monoclinic
Raw total energy, eV per atom: -4.951
Symmetry: Cm
M_tot, μB/f.u.: 0.000

6.
# GaCuC

A geometry-optimized GaCuC structure (PBE, the Alexandria database).

The structure in extended XYZ format:
```
12
Lattice="7.389 0.000 0.000 0.000 3.536 0.000 0.000 0.000 5.238" Properties=species:S:1:pos:R:3 pbc="T T T"
Cu 0.791 2.652 0.367
Cu 6.598 0.884 4.871
Cu 4.485 2.652 2.252
Cu 2.903 0.884 2.986
C 0.961 0.884 1.641
C 6.427 2.652 3.597
C 2.733 2.652 4.260
C 4.656 0.884 0.978
Ga 1.063 2.652 2.918
Ga 4.757 2.652 4.938
Ga 2.632 0.884 0.299
Ga 6.326 0.884 2.320
```

Computed properties:
Formation energy, meV/atom: 781
DOS at the Fermi energy, states/eV/atom: 0.029
Crystal system: orthorhombic
Raw total energy, eV per atom: -4.668
Symmetry: Pnma
M_tot, μB/f.u.: 0.000